[1]
Density functional theory data (PBE) for a relaxed structure of BMo2As2.

The structure in CIF format:
```
data_BMo2As2
_chemical_formula_sum 'B2 Mo4 As4'
_cell_length_a 4.7008
_cell_length_b 4.7008
_cell_length_c 7.5479
_cell_angle_alpha 90.00
_cell_angle_beta 90.00
_cell_angle_gamma 90.00
_space_group_name_H-M_alt 'I 4/m m m'
_space_group_IT_number 139
_space_group_name_Hall '-I 4 2'
loop_
_atom_site_label
_atom_site_type_symbol
_atom_site_fract_x
_atom_site_fract_y
_atom_site_fract_z
_atom_site_occupancy
B1 B 0.0000 0.0000 0.0000 1
Mo1 Mo 0.0000 0.5000 0.2500 1
As1 As 0.0000 0.0000 0.3490 1
```

Values from the calculation:
uncorrected energy = -66.2 eV for the cell shown


[2]
Density functional theory data (PBE) for a relaxed structure of B2Mo2As.

The structure in CIF format:
```
data_B2Mo2As
_chemical_formula_sum 'B4 Mo4 As2'
_cell_length_a 3.0784
_cell_length_b 11.9569
_cell_length_c 3.1367
_cell_angle_alpha 90.00
_cell_angle_beta 90.00
_cell_angle_gamma 90.00
_space_group_name_H-M_alt 'C m m m'
_space_group_IT_number 65
_space_group_name_Hall '-C 2 2'
loop_
_atom_site_label
_atom_site_type_symbol
_atom_site_fract_x
_atom_site_fract_y
_atom_site_fract_z
_atom_site_occupancy
B1 B 0.0000 0.2144 0.0000 1
Mo1 Mo 0.0000 0.3589 0.5000 1
As1 As 0.0000 0.0000 0.0000 1
```

Values from the calculation:
uncorrected energy = -81.3 eV for the cell shown


[3]
Density functional theory data (PBE) for a relaxed structure of BMo2As.

The structure in CIF format:
```
data_BMo2As
_chemical_formula_sum 'B2 Mo4 As2'
_cell_length_a 3.2525
_cell_length_b 3.2525
_cell_length_c 12.0832
_cell_angle_alpha 90.00
_cell_angle_beta 90.00
_cell_angle_gamma 120.00
_space_group_name_H-M_alt 'P 63/m m c'
_space_group_IT_number 194
_space_group_name_Hall '-P 6c 2c'
loop_
_atom_site_label
_atom_site_type_symbol
_atom_site_fract_x
_atom_site_fract_y
_atom_site_fract_z
_atom_site_occupancy
B1 B 0.0000 0.0000 0.0000 1
Mo1 Mo 0.3333 0.6667 0.0951 1
As1 As 0.3333 0.6667 0.7500 1
```

Values from the calculation:
uncorrected energy = -68.1 eV for the cell shown


[4]
Density functional theory data (PBE) for a relaxed structure of Nb2B2As.

The structure in CIF format:
```
data_Nb2B2As
_chemical_formula_sum 'Nb4 B4 As2'
_cell_length_a 3.1580
_cell_length_b 11.9443
_cell_length_c 3.3044
_cell_angle_alpha 90.00
_cell_angle_beta 90.00
_cell_angle_gamma 90.00
_space_group_name_H-M_alt 'C m m m'
_space_group_IT_number 65
_space_group_name_Hall '-C 2 2'
loop_
_atom_site_label
_atom_site_type_symbol
_atom_site_fract_x
_atom_site_fract_y
_atom_site_fract_z
_atom_site_occupancy
Nb1 Nb 0.0000 0.1368 0.0000 1
B1 B 0.0000 0.2801 0.5000 1
As1 As 0.0000 0.5000 0.5000 1
```

Values from the calculation:
uncorrected energy = -80.7 eV for the cell shown


[5]
Density functional theory data (PBE) for a relaxed structure of Nb2BAs2.

The structure in CIF format:
```
data_Nb2BAs2
_chemical_formula_sum 'Nb4 B2 As4'
_cell_length_a 5.0718
_cell_length_b 5.0718
_cell_length_c 6.7280
_cell_angle_alpha 90.00
_cell_angle_beta 90.00
_cell_angle_gamma 90.00
_space_group_name_H-M_alt 'I 4/m m m'
_space_group_IT_number 139
_space_group_name_Hall '-I 4 2'
loop_
_atom_site_label
_atom_site_type_symbol
_atom_site_fract_x
_atom_site_fract_y
_atom_site_fract_z
_atom_site_occupancy
Nb1 Nb 0.0000 0.5000 0.2500 1
B1 B 0.0000 0.0000 0.0000 1
As1 As 0.0000 0.0000 0.3053 1
```

Values from the calculation:
uncorrected energy = -67.6 eV for the cell shown


[6]
Density functional theory data (PBE) for a relaxed structure of Nb2BAs.

The structure in CIF format:
```
data_Nb2BAs
_chemical_formula_sum 'Nb4 B2 As2'
_cell_length_a 3.3868
_cell_length_b 3.3868
_cell_length_c 12.1125
_cell_angle_alpha 90.00
_cell_angle_beta 90.00
_cell_angle_gamma 120.00
_space_group_name_H-M_alt 'P 63/m m c'
_space_group_IT_number 194
_space_group_name_Hall '-P 6c 2c'
loop_
_atom_site_label
_atom_site_type_symbol
_atom_site_fract_x
_atom_site_fract_y
_atom_site_fract_z
_atom_site_occupancy
Nb1 Nb 0.3333 0.6667 0.1003 1
B1 B 0.0000 0.0000 0.0000 1
As1 As 0.3333 0.6667 0.7500 1
```

Values from the calculation:
uncorrected energy = -68.6 eV for the cell shown


[7]
Density functional theory data (PBE) for a relaxed structure of Nb4B3As.

The structure in CIF format:
```
data_Nb4B3As
_chemical_formula_sum 'Nb8 B6 As2'
_cell_length_a 3.3273
_cell_length_b 3.3273
_cell_length_c 22.7907
_cell_angle_alpha 90.00
_cell_angle_beta 90.00
_cell_angle_gamma 120.00
_space_group_name_H-M_alt 'P 63/m m c'
_space_group_IT_number 194
_space_group_name_Hall '-P 6c 2c'
loop_
_atom_site_label
_atom_site_type_symbol
_atom_site_fract_x
_atom_site_fract_y
_atom_site_fract_z
_atom_site_occupancy
Nb1 Nb 0.0000 0.0000 0.1689 1
Nb2 Nb 0.3333 0.6667 0.0568 1
B1 B 0.0000 0.0000 0.0000 1
B2 B 0.3333 0.6667 0.6153 1
As1 As 0.3333 0.6667 0.2500 1
```

Values from the calculation:
uncorrected energy = -140.2 eV for the cell shown


[8]
Density functional theory data (PBE) for a relaxed structure of Nb3BAs.

The structure in CIF format:
```
data_Nb3BAs
_chemical_formula_sum 'Nb12 B4 As4'
_cell_length_a 3.4232
_cell_length_b 10.6143
_cell_length_c 8.4810
_cell_angle_alpha 90.00
_cell_angle_beta 90.00
_cell_angle_gamma 90.00
_space_group_name_H-M_alt 'C m c m'
_space_group_IT_number 63
_space_group_name_Hall '-C 2c 2'
loop_
_atom_site_label
_atom_site_type_symbol
_atom_site_fract_x
_atom_site_fract_y
_atom_site_fract_z
_atom_site_occupancy
Nb1 Nb 0.0000 0.0585 0.2500 1
Nb2 Nb 0.0000 0.3646 0.0578 1
B1 B 0.0000 0.0000 0.0000 1
As1 As 0.0000 0.2553 0.7500 1
```

Values from the calculation:
uncorrected energy = -177.9 eV for the cell shown


[9]
Density functional theory data (PBE) for a relaxed structure of Nb3B4As.

The structure in CIF format:
```
data_Nb3B4As
_chemical_formula_sum 'Nb3 B4 As1'
_cell_length_a 3.1259
_cell_length_b 3.2746
_cell_length_c 8.7950
_cell_angle_alpha 90.00
_cell_angle_beta 90.00
_cell_angle_gamma 90.00
_space_group_name_H-M_alt 'P m m m'
_space_group_IT_number 47
_space_group_name_Hall '-P 2 2'
loop_
_atom_site_label
_atom_site_type_symbol
_atom_site_fract_x
_atom_site_fract_y
_atom_site_fract_z
_atom_site_occupancy
Nb1 Nb 0.0000 0.0000 0.0000 1
Nb2 Nb 0.5000 0.0000 0.3100 1
B1 B 0.0000 0.5000 0.2030 1
B2 B 0.5000 0.5000 0.1074 1
As1 As 0.0000 0.5000 0.5000 1
```

Values from the calculation:
uncorrected energy = -66.1 eV for the cell shown


[10]
Density functional theory data (PBE) for a relaxed structure of NbBAsO.

The structure in CIF format:
```
data_NbBAsO
_chemical_formula_sum 'Nb2 B2 As2 O2'
_cell_length_a 3.5868
_cell_length_b 3.5868
_cell_length_c 9.0061
_cell_angle_alpha 90.00
_cell_angle_beta 90.00
_cell_angle_gamma 90.00
_space_group_name_H-M_alt 'P 4/n m m'
_space_group_IT_number 129
loop_
_space_group_symop_operation_xyz
'x,y,z'
'-x,-y,-z'
'-y+1/2,x,z'
'y+1/2,-x,-z'
'-x+1/2,-y+1/2,z'
'x+1/2,y+1/2,-z'
'y,-x+1/2,z'
'-y,x+1/2,-z'
'x+1/2,-y,-z'
'-x+1/2,y,z'
'-y,-x,-z'
'y,x,z'
'-x,y+1/2,-z'
'x,-y+1/2,z'
'y+1/2,x+1/2,-z'
'-y+1/2,-x+1/2,z'
loop_
_atom_site_label
_atom_site_type_symbol
_atom_site_fract_x
_atom_site_fract_y
_atom_site_fract_z
_atom_site_occupancy
Nb1 Nb 0.2500 0.7500 0.0000 1
B1 B 0.2500 0.2500 0.4399 1
As1 As 0.2500 0.2500 0.2146 1
O1 O 0.2500 0.7500 0.5000 1
```

Values from the calculation:
energy above the lowest structure with this stoichiometry = 580 meV per atom


[11]
Density functional theory data (PBE) for a relaxed structure of NbBAsO.

The structure in CIF format:
```
data_NbBAsO
_chemical_formula_sum 'Nb2 B2 As2 O2'
_cell_length_a 3.5641
_cell_length_b 3.5641
_cell_length_c 8.1537
_cell_angle_alpha 90.00
_cell_angle_beta 90.00
_cell_angle_gamma 90.00
_space_group_name_H-M_alt 'P 4/n m m'
_space_group_IT_number 129
loop_
_space_group_symop_operation_xyz
'x,y,z'
'-x,-y,-z'
'-y+1/2,x,z'
'y+1/2,-x,-z'
'-x+1/2,-y+1/2,z'
'x+1/2,y+1/2,-z'
'y,-x+1/2,z'
'-y,x+1/2,-z'
'x+1/2,-y,-z'
'-x+1/2,y,z'
'-y,-x,-z'
'y,x,z'
'-x,y+1/2,-z'
'x,-y+1/2,z'
'y+1/2,x+1/2,-z'
'-y+1/2,-x+1/2,z'
loop_
_atom_site_label
_atom_site_type_symbol
_atom_site_fract_x
_atom_site_fract_y
_atom_site_fract_z
_atom_site_occupancy
Nb1 Nb 0.2500 0.2500 0.1428 1
B1 B 0.2500 0.7500 0.5000 1
As1 As 0.2500 0.2500 0.6683 1
O1 O 0.2500 0.7500 0.0000 1
```

Values from the calculation:
energy above the lowest structure with this stoichiometry = 471 meV per atom


[12]
Density functional theory data (PBE) for a relaxed structure of NbBAsO.

The structure in CIF format:
```
data_NbBAsO
_chemical_formula_sum 'Nb2 B2 As2 O2'
_cell_length_a 2.6686
_cell_length_b 6.8195
_cell_length_c 5.5559
_cell_angle_alpha 90.00
_cell_angle_beta 90.00
_cell_angle_gamma 90.00
_space_group_name_H-M_alt 'P m c 21'
_space_group_IT_number 26
_space_group_name_Hall 'P 2c -2'
loop_
_atom_site_label
_atom_site_type_symbol
_atom_site_fract_x
_atom_site_fract_y
_atom_site_fract_z
_atom_site_occupancy
Nb1 Nb 0.0000 0.0534 0.0000 1
B1 B 0.5000 0.3543 0.4193 1
As1 As 0.5000 0.3519 0.7941 1
O1 O 0.0000 0.2567 0.3381 1
```

Values from the calculation:
energy above the lowest structure with this stoichiometry = 34 meV per atom


[13]
Density functional theory data (PBE) for a relaxed structure of NbBAsO.

The structure in CIF format:
```
data_NbBAsO
_chemical_formula_sum 'Nb2 B2 As2 O2'
_cell_length_a 3.2153
_cell_length_b 6.7789
_cell_length_c 4.8969
_cell_angle_alpha 90.00
_cell_angle_beta 90.00
_cell_angle_gamma 90.00
_space_group_name_H-M_alt 'P m c 21'
_space_group_IT_number 26
_space_group_name_Hall 'P 2c -2'
loop_
_atom_site_label
_atom_site_type_symbol
_atom_site_fract_x
_atom_site_fract_y
_atom_site_fract_z
_atom_site_occupancy
Nb1 Nb 0.0000 0.1374 0.0000 1
B1 B 0.5000 0.4108 0.6226 1
As1 As 0.0000 0.2414 0.4986 1
O1 O 0.5000 0.4055 0.9501 1
```

Values from the calculation:
energy above the lowest structure with this stoichiometry = 0 meV per atom